[1]
InTePdRu2 PBE-GGA optimized geometry; uncorrected energy = -4.618 eV per atom; crystal system = tetragonal; M_tot = 4.9 μB/f.u.; space-group type = P4/mmm; raw formation energy = 1.306 eV/atom; V = 24.74 Å³/atom
1.0
4.988 0.000 0.000
0.000 4.973 0.000
0.000 0.000 4.988
Ru Te Pd In
2 1 1 1
direct
0.000 0.000 0.500
0.500 0.000 0.000
0.000 0.500 0.000
0.000 0.000 0.000
0.500 0.500 0.500

=====

[2]
ThInPdRu PBE-GGA optimized geometry; uncorrected energy = -6.629 eV per atom; crystal system = orthorhombic; excess energy over the best structure of this formula in the dataset = 0.000 eV/atom; M_tot = 0.0 μB/f.u.; space-group type = Pmmm; energy relative to the elements = -0.47 eV/atom; V = 20.43 Å³/atom
1.0
3.663 0.000 0.000
0.000 4.363 0.000
0.000 0.000 5.113
Th In Pd Ru
1 1 1 1
direct
0.500 0.000 0.500
0.500 0.500 0.000
0.000 0.000 0.000
0.000 0.500 0.500

=====

[3]
ThInPdRu PBE-GGA optimized geometry; uncorrected energy = -6.614 eV per atom; crystal system = cubic; excess energy over the best structure of this formula in the dataset = 0.016 eV/atom; M_tot = 0.0 μB/f.u.; space-group type = F-43m; energy relative to the elements = -0.46 eV/atom; V = 20.52 Å³/atom
1.0
-2.849 0.763 -3.885
-4.035 -2.668 -0.627
-4.391 2.050 0.560
Ru Pd Th In
1 1 1 1
direct
0.750 0.750 0.750
0.250 0.250 0.250
0.500 0.500 0.500
0.000 0.000 0.000

=====

[4]
TiIn2PdRu PBE-GGA optimized geometry; uncorrected energy = -5.262 eV per atom; crystal system = tetragonal; M_tot = 0.0 μB/f.u.; space-group type = P4/mmm; energy relative to the elements = 0.31 eV/atom; V = 23.30 Å³/atom
1.0
-0.507 5.000 -0.789
-2.273 -0.830 -3.797
-4.362 -0.029 2.617
Ru Ti Pd In
1 1 1 2
direct
0.000 0.000 0.000
0.000 0.500 0.000
0.500 0.500 0.500
0.000 0.000 0.500
0.500 0.000 0.000

=====

[5]
TmInPdRu PBE-GGA optimized geometry; uncorrected energy = -6.004 eV per atom; crystal system = orthorhombic; excess energy over the best structure of this formula in the dataset = 0.000 eV/atom; M_tot = 0.0 μB/f.u.; space-group type = Pmmm; energy relative to the elements = -0.58 eV/atom; V = 18.20 Å³/atom
1.0
-3.036 -1.358 -1.135
-0.227 -2.584 3.699
-2.297 3.317 2.176
Tm In Pd Ru
1 1 1 1
direct
0.500 0.500 0.000
0.500 0.000 0.500
0.000 0.500 0.500
0.000 0.000 0.000

=====

[6]
TmInPdRu PBE-GGA optimized geometry; uncorrected energy = -5.967 eV per atom; crystal system = cubic; excess energy over the best structure of this formula in the dataset = 0.037 eV/atom; M_tot = 0.0 μB/f.u.; space-group type = F-43m; energy relative to the elements = -0.55 eV/atom; V = 18.31 Å³/atom
1.0
4.696 0.000 0.000
2.348 4.067 0.000
2.348 1.356 3.834
Ru Tm Pd In
1 1 1 1
direct
0.250 0.250 0.250
0.500 0.500 0.500
0.750 0.750 0.750
0.000 0.000 0.000

=====

[7]
UInPdRu PBE-GGA optimized geometry; uncorrected energy = -7.329 eV per atom; crystal system = cubic; M_tot = 2.0 μB/f.u.; space-group type = F-43m; energy relative to the elements = -0.21 eV/atom; V = 19.08 Å³/atom
1.0
-1.239 -2.038 4.121
2.272 -3.906 1.502
2.925 0.241 3.749
Ru U Pd In
1 1 1 1
direct
0.500 0.500 0.500
0.250 0.250 0.250
0.000 0.000 0.000
0.750 0.750 0.750

=====

[8]
YInPdRu2 PBE-GGA optimized geometry; uncorrected energy = -5.671 eV per atom; crystal system = tetragonal; M_tot = 2.3 μB/f.u.; space-group type = P4/mmm; energy relative to the elements = 0.92 eV/atom; V = 23.83 Å³/atom
1.0
-2.904 -3.886 0.401
3.322 -2.162 3.093
-2.219 2.052 3.816
Y Ru Pd In
1 2 1 1
direct
0.000 0.500 0.000
0.000 0.000 0.500
0.500 0.000 0.000
0.000 0.000 0.000
0.500 0.500 0.500